1.
# La2ZnCrBr (GGA-PBE, optimized geometry)
# magnetic moment = 3.293 μB/f.u.
# formation energy (no corrections) = 0.1286 eV per atom
data_La2ZnCrBr
_symmetry_space_group_name_H-M 'P 4/m m m'
_symmetry_Int_Tables_number 123
_symmetry_space_group_name_Hall '-P 4 2'
_cell_length_a 5.6891
_cell_length_b 5.6891
_cell_length_c 4.6639
_cell_angle_alpha 90.00
_cell_angle_beta 90.00
_cell_angle_gamma 90.00
loop_
_atom_site_label
_atom_site_fract_x
_atom_site_fract_y
_atom_site_fract_z
La1 0.0000 0.5000 0.0000
Zn1 0.0000 0.0000 0.5000
Cr1 0.5000 0.5000 0.5000
Br1 0.5000 0.5000 0.0000

=====

2.
# Nd3TlAu4 (GGA-PBE, optimized geometry)
# magnetic moment = 0.000 μB/f.u.
# energy relative to the elements = -0.591 eV per atom
data_Nd3TlAu4
_symmetry_space_group_name_H-M 'I m m m'
_symmetry_Int_Tables_number 71
_symmetry_space_group_name_Hall '-I 2 2'
_cell_length_a 3.9252
_cell_length_b 7.3793
_cell_length_c 15.0169
_cell_angle_alpha 90.00
_cell_angle_beta 90.00
_cell_angle_gamma 90.00
loop_
_atom_site_label
_atom_site_fract_x
_atom_site_fract_y
_atom_site_fract_z
Nd1 0.0000 0.0000 0.0000
Nd2 0.0000 0.5000 0.1875
Tl1 0.0000 0.0000 0.5000
Au1 0.0000 0.3054 0.3653

=====

3.
# Ac3TeRh (GGA-PBE, optimized geometry)
# magnetic moment = 0.000 μB/f.u.
# formation energy (no corrections) = -0.6356 eV per atom
data_Ac3TeRh
_symmetry_space_group_name_H-M 'P m -3 m'
_symmetry_Int_Tables_number 221
_symmetry_space_group_name_Hall '-P 4 2 3'
_cell_length_a 5.7690
_cell_length_b 5.7690
_cell_length_c 5.7690
_cell_angle_alpha 90.00
_cell_angle_beta 90.00
_cell_angle_gamma 90.00
loop_
_atom_site_label
_atom_site_fract_x
_atom_site_fract_y
_atom_site_fract_z
Ac1 0.0000 0.0000 0.5000
Te1 0.5000 0.5000 0.5000
Rh1 0.0000 0.0000 0.0000

=====

4.
# HRhPb2 (GGA-PBE, optimized geometry)
# magnetic moment = 0.000 μB/f.u.
# energy relative to the lowest polymorph listed for this composition = 465 meV/atom
data_HRhPb2
_symmetry_space_group_name_H-M 'I -4 2 d'
_symmetry_Int_Tables_number 122
_symmetry_space_group_name_Hall 'I -4 2bw'
_cell_length_a 5.3412
_cell_length_b 5.3412
_cell_length_c 12.8267
_cell_angle_alpha 90.00
_cell_angle_beta 90.00
_cell_angle_gamma 90.00
loop_
_atom_site_label
_atom_site_fract_x
_atom_site_fract_y
_atom_site_fract_z
H1 0.0000 0.0000 0.0000
Rh1 0.0000 0.0000 0.5000
Pb1 0.1924 0.2500 0.1250

=====

5.
# BaSc2Zn (GGA-PBE, optimized geometry)
# magnetic moment = 0.003 μB/f.u.
# energy relative to the elements = 0.087 eV per atom
data_BaSc2Zn
_symmetry_space_group_name_H-M 'I m m m'
_symmetry_Int_Tables_number 71
_symmetry_space_group_name_Hall '-I 2 2'
_cell_length_a 3.4892
_cell_length_b 5.6726
_cell_length_c 11.3479
_cell_angle_alpha 90.00
_cell_angle_beta 90.00
_cell_angle_gamma 90.00
loop_
_atom_site_label
_atom_site_fract_x
_atom_site_fract_y
_atom_site_fract_z
Ba1 0.0000 0.0000 0.0000
Sc1 0.0000 0.5000 0.2061
Zn1 0.0000 0.0000 0.5000

=====

6.
# LiSmMgGa (GGA-PBE, optimized geometry)
# magnetic moment = 0.000 μB/f.u.
# energy relative to the elements = -0.334 eV per atom
data_LiSmMgGa
_symmetry_space_group_name_H-M 'F -4 3 m'
_symmetry_Int_Tables_number 216
_symmetry_space_group_name_Hall 'F -4 2 3'
_cell_length_a 6.9750
_cell_length_b 6.9750
_cell_length_c 6.9750
_cell_angle_alpha 90.00
_cell_angle_beta 90.00
_cell_angle_gamma 90.00
loop_
_atom_site_label
_atom_site_fract_x
_atom_site_fract_y
_atom_site_fract_z
Li1 0.0000 0.0000 0.0000
Sm1 0.2500 0.2500 0.2500
Mg1 0.2500 0.2500 0.7500
Ga1 0.0000 0.0000 0.5000

=====

7.
# SrLiAcNi (GGA-PBE, optimized geometry)
# magnetic moment = 0.001 μB/f.u.
# energy relative to the elements = 0.086 eV per atom
data_SrLiAcNi
_symmetry_space_group_name_H-M 'F -4 3 m'
_symmetry_Int_Tables_number 216
_symmetry_space_group_name_Hall 'F -4 2 3'
_cell_length_a 7.6214
_cell_length_b 7.6214
_cell_length_c 7.6214
_cell_angle_alpha 90.00
_cell_angle_beta 90.00
_cell_angle_gamma 90.00
loop_
_atom_site_label
_atom_site_fract_x
_atom_site_fract_y
_atom_site_fract_z
Sr1 0.0000 0.0000 0.0000
Li1 0.2500 0.2500 0.2500
Ac1 0.0000 0.0000 0.5000
Ni1 0.2500 0.2500 0.7500

=====

8.
# Cs2KReF6 (GGA-PBE, optimized geometry)
# magnetic moment = 2.000 μB/f.u.
# formation energy (no corrections) = -2.3421 eV per atom
data_Cs2KReF6
_symmetry_space_group_name_H-M 'I 4/m m m'
_symmetry_Int_Tables_number 139
_symmetry_space_group_name_Hall '-I 4 2'
_cell_length_a 6.5666
_cell_length_b 6.5666
_cell_length_c 9.3723
_cell_angle_alpha 90.00
_cell_angle_beta 90.00
_cell_angle_gamma 90.00
loop_
_atom_site_label
_atom_site_fract_x
_atom_site_fract_y
_atom_site_fract_z
Cs1 0.0000 0.5000 0.2500
K1 0.0000 0.0000 0.0000
Re1 0.0000 0.0000 0.5000
F1 0.0000 0.0000 0.2759
F2 0.2217 0.2217 0.5000

=====

9.
# Mo2CN (GGA-PBE, optimized geometry)
# magnetic moment = 0.000 μB/f.u.
# formation energy (no corrections) = -0.1392 eV per atom
# energy relative to the lowest polymorph listed for this composition = 131 meV/atom
data_Mo2CN
_symmetry_space_group_name_H-M 'R 3 m'
_symmetry_Int_Tables_number 160
_symmetry_space_group_name_Hall 'R 3 -2"'
_cell_length_a 2.9236
_cell_length_b 2.9236
_cell_length_c 16.7583
_cell_angle_alpha 90.00
_cell_angle_beta 90.00
_cell_angle_gamma 120.00
loop_
_atom_site_label
_atom_site_fract_x
_atom_site_fract_y
_atom_site_fract_z
Mo1 0.0000 0.0000 0.0000
Mo2 0.0000 0.0000 0.1702
C1 0.0000 0.0000 0.5843
N1 0.0000 0.0000 0.4235

=====

10.
# ErCuO3 (GGA-PBE, optimized geometry)
# magnetic moment = 0.000 μB/f.u.
# formation energy (no corrections) = -1.7788 eV per atom
data_ErCuO3
_symmetry_space_group_name_H-M 'P m -3 m'
_symmetry_Int_Tables_number 221
_symmetry_space_group_name_Hall '-P 4 2 3'
_cell_length_a 3.7644
_cell_length_b 3.7644
_cell_length_c 3.7644
_cell_angle_alpha 90.00
_cell_angle_beta 90.00
_cell_angle_gamma 90.00
loop_
_atom_site_label
_atom_site_fract_x
_atom_site_fract_y
_atom_site_fract_z
Er1 0.0000 0.0000 0.0000
Cu1 0.5000 0.5000 0.5000
O1 0.0000 0.5000 0.5000

=====

11.
# Tm2PaMn9 (GGA-PBE, optimized geometry)
# magnetic moment = 6.503 μB/f.u.
# energy relative to the elements = 0.062 eV per atom
data_Tm2PaMn9
_symmetry_space_group_name_H-M 'P 63/m m c'
_symmetry_Int_Tables_number 194
_symmetry_space_group_name_Hall '-P 6c 2c'
_cell_length_a 4.8981
_cell_length_b 4.8981
_cell_length_c 16.8771
_cell_angle_alpha 90.00
_cell_angle_beta 90.00
_cell_angle_gamma 120.00
loop_
_atom_site_label
_atom_site_fract_x
_atom_site_fract_y
_atom_site_fract_z
Tm1 0.3333 0.6667 0.0370
Pa1 0.3333 0.6667 0.2500
Mn1 0.0000 0.0000 0.0000
Mn2 0.0000 0.0000 0.2500
Mn3 0.1688 0.3375 0.6268
Mn4 0.3333 0.6667 0.7500

=====

Short version: energy = -4.3565 -4.3139 -5.1993 -4.0946 -3.8781 -3.1477 -3.2852 -4.9901 -9.9421 -6.4855 -8.3515 eV/atom, in the order given.